Density functional theory data (PBE) for a relaxed structure of KH3Au.

The structure belongs to space group C2/c (No. 15); the cell edges are 9.255, 10.467 and 7.751 Å and the angles 90.00°, 113.43° and 90.00°. Symmetry generates all atoms from K at (0.245, 0.118, 0.265), H at (0.065, 0.036, 0.909), H at (0.065, 0.262, 0.913), H at (0.196, 0.376, 0.348), Au at (0.000, 0.150, 0.750) and Au at (0.000, 0.376, 0.250).

The calculation puts the total DFT energy (no corrections) at -3.0599 eV per atom. The distance to the lowest polymorph of the same formula is 0 meV/atom.


Density functional theory data (PBE) for a relaxed structure of KAsO.

The structure belongs to space group P1 (No. 1); the cell edges are 4.470, 5.636 and 6.643 Å and the angles 109.16°, 93.43° and 93.32°. Symmetry generates all atoms from K at (0.000, 0.000, 0.000), K at (0.471, 0.245, 0.569), As at (0.463, 0.562, 0.154), As at (0.909, 0.694, 0.438), O at (0.178, 0.449, 0.312) and O at (0.540, 0.271, 0.976).

The calculation puts the total DFT energy (no corrections) at -4.6130 eV per atom. The value obtained for the uncorrected formation energy is -1.04 eV/atom.